# KFe2Te | Alexandria | PBE | relaxed
data_KFe2Te
_chemical_formula_sum 'K1 Fe2 Te1'
_space_group_name_H-M_alt 'P 1'
_space_group_IT_number 1
_space_group_name_Hall 'P 1'
_cell_length_a 5.3689
_cell_length_b 5.3689
_cell_length_c 5.3689
_cell_angle_alpha 131.58
_cell_angle_beta 131.58
_cell_angle_gamma 70.89
loop_
_atom_site_label
_atom_site_fract_x
_atom_site_fract_y
_atom_site_fract_z
K1 0.0000 0.0000 0.0000
Fe1 0.2500 0.7500 0.5000
Fe2 0.7500 0.2500 0.5000
Te1 0.5000 0.5000 0.0000
# * final energy: -17.7 eV/cell
# * symmetry: I4/mmm
# * volume: 21.2 Å³ per atom